The following is a GGA-PBE calculation of a geometry-optimized TlInHgPb structure, from Alexandria via LeMat-Bulk.

Symmetry   P4mm, No. 99
Formation enthalpy at 0 K   0.0062 eV/atom
Final energy   -2.27 eV per atom
E above lowest polymorph   3.1 meV/atom

POSCAR file:
```
TlInHgPb
1.0
3.526 0.000 0.000
0.000 3.526 0.000
0.000 0.000 9.259
Tl In Hg Pb
1 1 1 1
direct
0.000 0.000 0.000
0.000 0.000 0.477
0.500 0.500 0.252
0.500 0.500 0.727
```



The following is a GGA-PBE calculation of a geometry-optimized Ir2PtS2 structure, from Alexandria via LeMat-Bulk.

Symmetry   P4/mbm, No. 127
Final energy   -5.85 eV per atom
E above lowest polymorph   14.0 meV/atom
Energy relative to the elements, uncorrected   0.555 eV/atom

POSCAR file:
```
Ir2PtS2
1.0
7.173 0.000 0.000
0.000 7.173 0.000
0.000 0.000 2.888
Ir Pt S
4 2 4
direct
0.172 0.328 0.000
0.328 0.828 0.000
0.672 0.172 0.000
0.828 0.672 0.000
0.000 0.000 0.500
0.500 0.500 0.500
0.141 0.641 0.500
0.359 0.141 0.500
0.641 0.859 0.500
0.859 0.359 0.500
```



Here are the calculated magnetic moment numbers, same order: 0.00, 0.00 (μB/f.u.).